# 1
## TaNbAl2 (PBE-GGA)

Data for TaNbAl2 after structural relaxation.

Output
The calculated total energy comes out at -7.38 eV per atom. Its crystal system is cubic.

Unit cell a=6.4602 b=6.4602 c=6.4602 alpha=90.00 beta=90.00 gamma=90.00
Space group F-43m (No. 216)
Unique sites:
Ta (0.0000, 0.0000, 0.0000)
Nb (0.2500, 0.2500, 0.7500)
Al (0.0000, 0.0000, 0.5000)
Al (0.2500, 0.2500, 0.2500)


# 2
## ZrBi (PBE-GGA)

Data for ZrBi after structural relaxation.

Output
The calculated total energy comes out at -6.45 eV per atom. Its crystal system is monoclinic.

Unit cell a=6.3614 b=5.5188 c=8.8624 alpha=90.00 beta=93.90 gamma=90.00
Space group P2_1/m (No. 11)
Unique sites:
Zr (0.0741, 0.2500, 0.0942)
Zr (0.2519, 0.7500, 0.2637)
Zr (0.4158, 0.7500, 0.9262)
Bi (0.0839, 0.7500, 0.5990)
Bi (0.2584, 0.2500, 0.7978)
Bi (0.4145, 0.2500, 0.3840)